[1]
The following is a PBE-GGA calculation of crystalline Cu2SiGe at its relaxed geometry, from the Alexandria database.

Geometry as extended XYZ:
```
4
Lattice="0.000 3.071 3.071 3.071 0.000 3.071 3.071 3.071 0.000" Properties=species:S:1:pos:R:3 pbc="T T T"
Cu 1.536 1.536 1.536
Cu 4.607 4.607 4.607
Si 0.000 0.000 0.000
Ge 3.071 3.071 3.071
```

Properties
N(E_F) (states/eV/f.u.): 0.798
Size of the total moment (μB/cell): 0.00
Raw total energy (eV/atom): -4.28
SG: Fm-3m (225)
Formation energy without anion corrections (eV/atom): 0.28



[2]
The following is a PBE-GGA calculation of crystalline Pm3Al2Ge3 at its relaxed geometry, from the Alexandria database.

Geometry as extended XYZ:
```
16
Lattice="2.134 -5.606 0.000 2.134 5.606 0.000 0.000 0.000 15.465" Properties=species:S:1:pos:R:3 pbc="T T T"
Pm 2.134 4.843 11.599
Pm 2.134 1.527 9.225
Pm 2.134 1.527 13.973
Pm 2.134 -1.527 1.492
Pm 2.134 -1.527 6.240
Pm 2.134 -4.843 3.866
Al 2.134 1.660 1.908
Al 2.134 1.660 5.824
Al 2.134 -1.660 9.641
Al 2.134 -1.660 13.557
Ge 2.134 4.621 8.517
Ge 2.134 4.621 14.680
Ge 2.134 3.328 3.866
Ge 2.134 -3.328 11.599
Ge 2.134 -4.621 0.785
Ge 2.134 -4.621 6.948
```

Properties
N(E_F) (states/eV/f.u.): 4.567
Size of the total moment (μB/cell): 0.00
Raw total energy (eV/atom): -5.08
E_form (eV/atom): -0.64
SG: Cmcm (63)



[3]
The following is a PBE-GGA calculation of crystalline ScTi2S4 at its relaxed geometry, from the Alexandria database.

Geometry as extended XYZ:
```
14
Lattice="1.720 -5.702 0.000 1.720 5.702 0.000 0.000 0.000 12.433" Properties=species:S:1:pos:R:3 pbc="T T T"
Sc 1.720 4.353 9.325
Sc 1.720 -4.353 3.108
Ti 1.720 1.592 6.973
Ti 1.720 1.592 11.676
Ti 1.720 -1.592 0.757
Ti 1.720 -1.592 5.460
S 0.000 0.000 0.000
S 0.000 0.000 6.217
S 1.720 2.506 1.504
S 1.720 2.506 4.713
S 1.720 0.531 9.325
S 1.720 -0.531 3.108
S 1.720 -2.506 7.720
S 1.720 -2.506 10.929
```

Properties
N(E_F) (states/eV/f.u.): 4.990
Size of the total moment (μB/cell): 0.01
Raw total energy (eV/atom): -7.00
SG: Cmcm (63)
Formation energy without anion corrections (eV/atom): -1.48



[4]
The following is a PBE-GGA calculation of crystalline YSc2Hg6 at its relaxed geometry, from the Alexandria database.

Geometry as extended XYZ:
```
9
Lattice="2.649 -8.608 0.000 2.649 8.608 0.000 -2.587 0.000 4.619" Properties=species:S:1:pos:R:3 pbc="T T T"
Y 0.000 0.000 0.000
Sc 1.355 5.673 2.310
Sc 1.355 -5.673 2.310
Hg 1.338 2.896 0.780
Hg 0.038 0.000 3.070
Hg 1.372 2.896 3.840
Hg 1.338 -2.896 0.780
Hg 2.673 0.000 1.549
Hg 1.372 -2.896 3.840
```

Properties
N(E_F) (states/eV/f.u.): 4.497
Size of the total moment (μB/cell): 0.00
Raw total energy (eV/atom): -2.62
E_form (eV/atom): -0.29
SG: C2/m (12)



[5]
The following is a PBE-GGA calculation of crystalline CePr4Te6 at its relaxed geometry, from the Alexandria database.

Geometry as extended XYZ:
```
22
Lattice="2.218 -7.414 0.000 2.218 7.414 0.000 0.000 0.000 22.973" Properties=species:S:1:pos:R:3 pbc="T T T"
Ce 2.218 5.068 17.230
Ce 2.218 -5.068 5.743
Pr 2.218 6.139 2.913
Pr 2.218 6.139 8.574
Pr 2.218 2.131 0.857
Pr 2.218 2.131 10.630
Pr 2.218 -2.131 12.343
Pr 2.218 -2.131 22.116
Pr 2.218 -6.139 14.399
Pr 2.218 -6.139 20.060
Te 0.000 0.000 0.000
Te 0.000 0.000 11.486
Te 2.218 4.656 5.743
Te 2.218 3.430 13.648
Te 2.218 3.430 20.812
Te 2.218 0.833 3.852
Te 2.218 0.833 7.635
Te 2.218 -0.833 15.338
Te 2.218 -0.833 19.121
Te 2.218 -3.430 2.161
Te 2.218 -3.430 9.325
Te 2.218 -4.656 17.230
```

Properties
N(E_F) (states/eV/f.u.): 10.493
Size of the total moment (μB/cell): 2.31
Raw total energy (eV/atom): -5.42
SG: Cmcm (63)
Formation energy without anion corrections (eV/atom): -1.43



[6]
The following is a PBE-GGA calculation of crystalline CePr2Mn2N6 at its relaxed geometry, from the Alexandria database.

Geometry as extended XYZ:
```
11
Lattice="2.820 1.628 5.966 -2.820 1.628 5.966 0.000 -3.257 5.966" Properties=species:S:1:pos:R:3 pbc="T T T"
Ce 0.000 0.000 0.000
Pr 0.000 0.000 3.766
Pr 0.000 0.000 14.133
Mn 0.000 0.000 7.243
Mn 0.000 0.000 10.655
N -1.414 -0.816 10.216
N 0.000 -1.632 7.683
N -1.414 0.816 7.683
N 1.414 -0.816 10.216
N 0.000 1.632 10.216
N 1.414 0.816 7.683
```

Properties
N(E_F) (states/eV/f.u.): 6.351
Size of the total moment (μB/cell): 2.03
Raw total energy (eV/atom): -8.34
SG: R-3m (166)
Formation energy without anion corrections (eV/atom): -0.72



[7]
The following is a PBE-GGA calculation of crystalline TaPBr2 at its relaxed geometry, from the Alexandria database.

Geometry as extended XYZ:
```
4
Lattice="1.724 0.995 8.784 -1.724 0.995 8.784 0.000 -1.991 8.784" Properties=species:S:1:pos:R:3 pbc="T T T"
Ta 0.000 0.000 0.000
P 0.000 0.000 19.021
Br 0.000 0.000 6.901
Br 0.000 0.000 12.521
```

Properties
N(E_F) (states/eV/f.u.): 3.391
Size of the total moment (μB/cell): 0.00
Raw total energy (eV/atom): -5.37
SG: R3m (160)
Formation energy without anion corrections (eV/atom): -0.22



[8]
The following is a PBE-GGA calculation of crystalline Rb4Tl5Au6 at its relaxed geometry, from the Alexandria database.

Geometry as extended XYZ:
```
30
Lattice="2.478 -11.240 0.000 2.478 11.240 0.000 0.000 0.000 18.278" Properties=species:S:1:pos:R:3 pbc="T T T"
Rb 2.478 11.213 9.139
Rb 2.478 10.644 4.890
Rb 2.478 7.416 14.670
Rb 2.478 7.161 7.973
Rb 2.478 -7.161 17.112
Rb 2.478 -7.416 5.531
Rb 2.478 -10.644 14.029
Rb 2.478 -11.213 0.000
Tl 2.478 8.188 2.154
Tl 2.478 4.521 1.975
Tl 2.478 3.503 13.970
Tl 2.478 3.130 8.706
Tl 2.478 1.435 3.272
Tl 2.478 -1.435 12.411
Tl 2.478 -3.130 17.845
Tl 2.478 -3.503 4.831
Tl 2.478 -4.521 11.114
Tl 2.478 -8.188 11.293
Au 2.478 8.445 11.393
Au 2.478 6.520 18.057
Au 2.478 6.273 4.382
Au 2.478 1.528 16.134
Au 2.478 1.430 11.558
Au 2.478 1.284 6.417
Au 2.478 -1.284 15.556
Au 2.478 -1.430 2.419
Au 2.478 -1.528 6.995
Au 2.478 -6.273 13.521
Au 2.478 -6.520 8.918
Au 2.478 -8.445 2.254
```

Properties
N(E_F) (states/eV/f.u.): 5.363
Size of the total moment (μB/cell): 0.00
Raw total energy (eV/atom): -2.52
E_form (eV/atom): -0.16
SG: Cmc2_1 (36)